[1]
Compound: AcSe
Source: the Alexandria database
Functional: PBE
Structure: relaxed

Values from the calculation:
formation energy (no corrections): -1641 meV per atom
DOS at the Fermi energy: 1.49 states/eV/cell
energy above the most stable polymorph in this dataset: 225 meV/atom
final energy: -10.9 eV for the cell shown

Cell: 3.844 3.844 3.844 Å, 90.00 90.00 90.00°
Sites, in units of the cell vectors:
Ac: 0.000 0.000 0.000
Se: 0.500 0.500 0.500



[2]
Compound: Na2In8Hg
Source: the Alexandria database
Functional: PBE
Structure: relaxed

Values from the calculation:
DOS at the Fermi energy: 4.52 states/eV/cell
final energy: -25.3 eV for the cell shown
formation energy from the elements: -0.05 eV/atom

Cell: 4.930 4.930 12.242 Å, 90.00 90.00 90.00°
Sites, in units of the cell vectors:
Na: 0.000 0.000 0.178
Na: 0.000 0.000 0.822
In: 0.000 0.500 0.000
In: 0.000 0.500 0.358
In: 0.000 0.500 0.642
In: 0.500 0.000 0.000
In: 0.500 0.000 0.358
In: 0.500 0.000 0.642
In: 0.500 0.500 0.181
In: 0.500 0.500 0.819
Hg: 0.000 0.000 0.500



[3]
Compound: CoAgAs2
Source: the Alexandria database
Functional: PBE
Structure: relaxed

Values from the calculation:
DOS at the Fermi energy: 1.84 states/eV/cell
energy above the most stable polymorph in this dataset: 0 meV/atom
final energy: -19.2 eV for the cell shown
formation energy from the elements: 0.03 eV/atom

Cell: 3.766 3.766 7.456 Å, 104.14 104.14 44.97°
Sites, in units of the cell vectors:
Co: 0.000 0.000 0.000
Ag: 0.000 0.000 0.500
As: 0.342 0.342 0.178
As: 0.658 0.658 0.822



[4]
Compound: Si2NiIr
Source: the Alexandria database
Functional: PBE
Structure: relaxed

Values from the calculation:
formation energy (no corrections): -293 meV per atom
DOS at the Fermi energy: 2.59 states/eV/cell
final energy: -26.7 eV for the cell shown

Cell: 2.958 2.958 5.689 Å, 90.00 90.00 90.00°
Sites, in units of the cell vectors:
Si: 0.000 0.000 0.228
Si: 0.000 0.000 0.772
Ni: 0.500 0.500 0.000
Ir: 0.500 0.500 0.500



[5]
Compound: EuTlHg4
Source: the Alexandria database
Functional: PBE
Structure: relaxed

Values from the calculation:
DOS at the Fermi energy: 11.23 states/eV/cell
final energy: -15.1 eV for the cell shown
formation energy from the elements: -0.21 eV/atom

Cell: 6.164 6.164 6.164 Å, 60.00 60.00 60.00°
Sites, in units of the cell vectors:
Eu: 0.000 0.000 0.000
Tl: 0.750 0.750 0.750
Hg: 0.375 0.375 0.375
Hg: 0.375 0.375 0.875
Hg: 0.375 0.875 0.375
Hg: 0.875 0.375 0.375



[6]
Compound: LiAu2I2
Source: the Alexandria database
Functional: PBE
Structure: relaxed

Values from the calculation:
formation energy (no corrections): -74 meV per atom
DOS at the Fermi energy: 1.09 states/eV/cell
energy above the most stable polymorph in this dataset: 34 meV/atom
final energy: -11.9 eV for the cell shown

Cell: 5.855 5.855 5.855 Å, 119.61 119.61 90.67°
Sites, in units of the cell vectors:
Li: 0.000 0.000 0.000
Au: 0.313 0.313 0.000
Au: 0.687 0.687 0.000
I: 0.250 0.750 0.500
I: 0.750 0.250 0.500



[7]
Compound: Y2ZrSb3
Source: the Alexandria database
Functional: PBE
Structure: relaxed

Values from the calculation:
formation energy (no corrections): -940 meV per atom
DOS at the Fermi energy: 2.42 states/eV/cell
final energy: -39.5 eV for the cell shown

Cell: 9.603 9.603 9.603 Å, 154.12 154.12 36.92°
Sites, in units of the cell vectors:
Y: 0.168 0.168 0.000
Y: 0.832 0.832 0.000
Zr: 0.500 0.500 0.000
Sb: 0.000 0.000 0.000
Sb: 0.338 0.338 0.000
Sb: 0.662 0.662 0.000



[8]
Compound: NaIN2O
Source: the Alexandria database
Functional: PBE
Structure: relaxed

Values from the calculation:
formation energy (no corrections): 2174 meV per atom
DOS at the Fermi energy: 2.52 states/eV/cell
final energy: -13.6 eV for the cell shown

Cell: 4.813 4.813 5.947 Å, 90.00 90.00 90.00°
Sites, in units of the cell vectors:
Na: 0.000 0.000 0.000
I: 0.000 0.000 0.500
N: 0.000 0.500 0.000
N: 0.500 0.000 0.000
O: 0.500 0.500 0.500